Entry 1:
Sr5Sb2SeO after structural relaxation. Source: Alexandria, functional GGA-PBE.

Lattice parameters (Å, degrees): 4.9225 4.9225 11.8398 90.00 90.00 90.00
With the nearest neighbours (Å) after each atom.
Fractional coordinates of all 9 atoms:
Sr: 0.0000 0.5000 0.5000  2 O 2.46
Sr: 0.5000 0.0000 0.5000  2 O 2.46
Sr: 0.0000 0.0000 0.7467  1 O 2.92, 1 Se 3.00
Sr: 0.0000 0.0000 0.2533  1 O 2.92, 1 Se 3.00
Sr: 0.5000 0.5000 0.0000  2 Sb 3.46, 4 Se 3.48
Sb: 0.5000 0.5000 0.2926  9 Sr 3.46-3.51
Sb: 0.5000 0.5000 0.7074  9 Sr 3.46-3.51
Se: 0.0000 0.0000 0.0000  2 Sr 3.00
O: 0.0000 0.0000 0.5000  4 Sr 2.46

Calculated values
As for the space group: P4/mmm (123). Its final energy is -4.437 eV per atom. The energy relative to the elements, uncorrected is -1.649 eV/atom. The mass density comes out at 4.5 g cm⁻³.

Entry 2:
Sb2TeSeO after structural relaxation. Source: Alexandria, functional GGA-PBE.

Lattice parameters (Å, degrees): 5.4104 5.4104 5.3530 90.00 90.00 90.00
With the nearest neighbours (Å) after each atom.
Fractional coordinates of all 5 atoms:
Sb: 0.0000 0.5000 0.0000  2 Se 2.71
Sb: 0.5000 0.0000 0.0000  2 Se 2.71
Te: 0.0000 0.0000 0.5000  2 Se 2.68
O: 0.5000 0.5000 0.5000  8 Sb 3.81, 4 Te 3.83
Se: 0.0000 0.0000 0.0000  2 Te 2.68, 4 Sb 2.71

Calculated values
As for the space group: P4/mmm (123). Its offset from the most stable computed form is 0.898 eV/atom. Its final energy is -2.838 eV per atom. The energy relative to the elements, uncorrected is 1.128 eV/atom. The mass density comes out at 4.9 g cm⁻³.

Entry 3:
SbTe2SeO after structural relaxation. Source: Alexandria, functional GGA-PBE.

Lattice parameters (Å, degrees): 5.3865 5.3865 5.4487 90.00 90.00 90.00
With the nearest neighbours (Å) after each atom.
Fractional coordinates of all 5 atoms:
Sb: 0.0000 0.0000 0.5000  2 Se 2.72
Te: 0.0000 0.5000 0.0000  2 Se 2.69
Te: 0.5000 0.0000 0.0000  2 Se 2.69
O: 0.5000 0.5000 0.5000  4 Sb 3.81, 8 Te 3.83
Se: 0.0000 0.0000 0.0000  4 Te 2.69, 2 Sb 2.72

Calculated values
As for the space group: P4/mmm (123). Its offset from the most stable computed form is 0.817 eV/atom. Its final energy is -2.658 eV per atom. The energy relative to the elements, uncorrected is 1.111 eV/atom. The mass density comes out at 5.0 g cm⁻³.

Entry 4:
Sb2TeSeO after structural relaxation. Source: Alexandria, functional GGA-PBE.

Lattice parameters (Å, degrees): 4.9437 4.9437 4.6965 90.00 90.00 90.00
With the nearest neighbours (Å) after each atom.
Fractional coordinates of all 5 atoms:
Sb: 0.0000 0.5000 0.0000  2 O 2.47
Sb: 0.5000 0.0000 0.0000  2 O 2.47
Te: 0.0000 0.0000 0.5000  2 O 2.35
O: 0.0000 0.0000 0.0000  2 Te 2.35, 4 Sb 2.47
Se: 0.5000 0.5000 0.5000  8 Sb 3.41, 4 Te 3.50

Calculated values
As for the space group: P4/mmm (123). Its offset from the most stable computed form is 0.000 eV/atom. Its final energy is -3.736 eV per atom. The energy relative to the elements, uncorrected is 0.230 eV/atom. The mass density comes out at 6.7 g cm⁻³.

Entry 5:
SbTe2SeO after structural relaxation. Source: Alexandria, functional GGA-PBE.

Lattice parameters (Å, degrees): 4.7813 4.7813 5.0466 90.00 90.00 90.00
With the nearest neighbours (Å) after each atom.
Fractional coordinates of all 5 atoms:
Sb: 0.0000 0.0000 0.5000  2 O 2.52
Te: 0.0000 0.5000 0.0000  2 O 2.39
Te: 0.5000 0.0000 0.0000  2 O 2.39
O: 0.0000 0.0000 0.0000  4 Te 2.39, 2 Sb 2.52
Se: 0.5000 0.5000 0.5000  4 Sb 3.38, 8 Te 3.48

Calculated values
As for the space group: P4/mmm (123). Its offset from the most stable computed form is 0.000 eV/atom. Its final energy is -3.475 eV per atom. The energy relative to the elements, uncorrected is 0.295 eV/atom. The mass density comes out at 6.8 g cm⁻³.

Entry 6:
TlSbSeO6 after structural relaxation. Source: Alexandria, functional GGA-PBE.

Lattice parameters (Å, degrees): 5.1502 5.1501 6.3783 90.00 90.00 60.00
With the nearest neighbours (Å) after each atom.
Fractional coordinates of all 9 atoms:
Tl: 0.0000 0.0000 0.0000  6 O 2.88
Sb: 0.3333 0.3333 0.5000  6 O 2.03
Se: 0.6666 0.6667 0.5000  6 O 1.85
O: 0.9743 0.3948 0.3303  1 Se 1.85, 1 Sb 2.03
O: 0.3947 0.9744 0.6697  1 Se 1.85, 1 Sb 2.03
O: 0.6308 0.3948 0.6697  1 Se 1.85, 1 Sb 2.03
O: 0.9743 0.6309 0.6697  1 Se 1.85, 1 Sb 2.03
O: 0.3947 0.6309 0.3303  1 Se 1.85, 1 Sb 2.03
O: 0.6309 0.9744 0.3303  1 Se 1.85, 1 Sb 2.03

Calculated values
As for the space group: P312 (149). Its final energy is -5.323 eV per atom. The energy relative to the elements, uncorrected is -0.910 eV/atom. The mass density comes out at 5.7 g cm⁻³.

Entry 7:
TlSbSe2O8 after structural relaxation. Source: Alexandria, functional GGA-PBE.

Lattice parameters (Å, degrees): 5.3797 5.3797 8.7254 87.22 87.22 65.47
With the nearest neighbours (Å) after each atom.
Fractional coordinates of all 12 atoms:
Tl: 0.0000 0.0000 0.5000  6 O 2.96-3.07
Sb: 0.0000 0.0000 0.0000  6 O 2.24-2.30
Se: 0.6310 0.6310 0.2126  4 O 1.64-1.70
Se: 0.3690 0.3690 0.7874  4 O 1.64-1.70
O: 0.7137 0.2404 0.8058  1 Se 1.70
O: 0.7566 0.7566 0.0617  1 Se 1.69
O: 0.7001 0.7001 0.3828  1 Se 1.64
O: 0.2999 0.2999 0.6172  1 Se 1.64
O: 0.2434 0.2434 0.9383  1 Se 1.69
O: 0.2404 0.7137 0.8058  1 Se 1.70
O: 0.7596 0.2863 0.1942  1 Se 1.70
O: 0.2863 0.7596 0.1942  1 Se 1.70

Calculated values
As for the space group: C2/m (12). Its final energy is -5.228 eV per atom. The energy relative to the elements, uncorrected is -0.801 eV/atom. The mass density comes out at 4.4 g cm⁻³.

Entry 8:
U2SbSe2O2 after structural relaxation. Source: Alexandria, functional GGA-PBE.

Lattice parameters (Å, degrees): 3.7632 3.7632 13.0067 90.00 90.00 120.00
With the nearest neighbours (Å) after each atom.
Fractional coordinates of all 7 atoms:
U: 0.6667 0.3333 0.2170  3 O 2.20
U: 0.3333 0.6667 0.7830  3 O 2.20
Sb: 0.0000 0.0000 0.0000  6 O 3.29, 6 U 3.56
Se: 0.0000 0.0000 0.3593  3 U 2.85, 3 O 3.10
Se: 0.0000 0.0000 0.6407  3 U 2.85, 3 O 3.10
O: 0.6667 0.3333 0.8105  3 U 2.20
O: 0.3333 0.6667 0.1895  3 U 2.20

Calculated values
As for the space group: P-3m1 (164). Its final energy is -7.917 eV per atom. The energy relative to the elements, uncorrected is -1.691 eV/atom. The mass density comes out at 8.2 g cm⁻³.

Entry 9:
USbSe2O after structural relaxation. Source: Alexandria, functional GGA-PBE.

Lattice parameters (Å, degrees): 4.0414 4.0414 13.7372 90.00 90.00 90.00
With the nearest neighbours (Å) after each atom.
Fractional coordinates of all 10 atoms:
U: 0.5000 0.0000 0.5876  4 O 2.35
U: 0.0000 0.5000 0.4124  4 O 2.35
Sb: 0.5000 0.0000 0.1142  5 Se 2.75-2.86
Sb: 0.0000 0.5000 0.8858  5 Se 2.75-2.86
Se: 0.0000 0.5000 0.6853  1 Sb 2.75
Se: 0.0000 0.5000 0.1128  5 Sb 2.86-3.12
Se: 0.5000 0.0000 0.8872  5 Sb 2.86-3.12
Se: 0.5000 0.0000 0.3147  1 Sb 2.75
O: 0.0000 0.0000 0.5000  4 U 2.35
O: 0.5000 0.5000 0.5000  4 U 2.35

Calculated values
As for the space group: P4/nmm (129). Its final energy is -6.803 eV per atom. The energy relative to the elements, uncorrected is -1.335 eV/atom. The mass density comes out at 7.9 g cm⁻³.